Nd2RhI2 | GGA-PBE | relaxed

Cell lengths 4.206, 4.207, 12.263 Å; angles 81.14, 80.12, 60.01 degrees
Fractional coordinates of all 5 atoms:
Nd1 0.716 0.202 0.367
Nd2 0.284 0.798 0.633
Rh1 0.000 0.500 0.500
I1 0.449 0.917 0.184
I2 0.551 0.083 0.816

Results
Symmetry   C2/m, No. 12
DOS at the Fermi energy   0.656 states/eV/atom
Total magnetic moment   0.000 μB/cell
Energy relative to the elements, uncorrected   -1.0522 eV/atom

***

Nd6RuRh2I3 | GGA-PBE | relaxed

Cell lengths 7.215, 7.215, 8.525 Å; angles 98.10, 98.10, 119.99 degrees
Fractional coordinates of all 12 atoms:
Nd1 0.938 0.610 0.814
Nd2 0.734 0.734 0.186
Nd3 0.062 0.390 0.186
Nd4 0.610 0.938 0.814
Nd5 0.266 0.266 0.814
Nd6 0.390 0.062 0.186
Ru1 0.000 0.000 0.000
Rh1 0.333 0.667 0.000
Rh2 0.667 0.333 0.000
I1 0.166 0.834 0.500
I2 0.834 0.166 0.500
I3 0.500 0.500 0.500

Results
Symmetry   C2/m, No. 12
DOS at the Fermi energy   0.400 states/eV/atom
Total magnetic moment   0.000 μB/cell
Energy relative to the elements, uncorrected   -0.8454 eV/atom

***

Nd8RuRh3I4 | GGA-PBE | relaxed

Cell lengths 8.330, 9.497, 8.341 Å; angles 116.16, 119.96, 90.00 degrees
Fractional coordinates of all 16 atoms:
Nd1 0.226 0.686 0.960
Nd2 0.226 0.686 0.453
Nd3 0.272 0.316 0.544
Nd4 0.734 0.686 0.960
Nd5 0.266 0.314 0.040
Nd6 0.728 0.684 0.456
Nd7 0.774 0.314 0.547
Nd8 0.774 0.314 0.040
Ru1 0.000 0.500 0.000
Rh1 0.500 0.500 0.000
Rh2 0.500 0.500 0.500
Rh3 0.000 0.500 0.500
I1 0.500 0.000 0.000
I2 0.500 0.000 0.500
I3 0.000 0.000 0.000
I4 0.000 0.000 0.500

Results
Symmetry   C2/m, No. 12
DOS at the Fermi energy   0.508 states/eV/atom
Total magnetic moment   0.000 μB/cell
Energy relative to the elements, uncorrected   -0.8686 eV/atom

***

Nd6Rh2SI3 | GGA-PBE | relaxed

Cell lengths 7.327, 7.327, 8.342 Å; angles 98.40, 98.40, 119.91 degrees
Fractional coordinates of all 12 atoms:
Nd1 0.937 0.591 0.813
Nd2 0.715 0.715 0.187
Nd3 0.063 0.409 0.187
Nd4 0.591 0.937 0.813
Nd5 0.285 0.285 0.813
Nd6 0.409 0.063 0.187
Rh1 0.333 0.667 0.000
Rh2 0.667 0.333 0.000
S1 0.000 0.000 0.000
I1 0.164 0.836 0.500
I2 0.836 0.164 0.500
I3 0.500 0.500 0.500

Results
Symmetry   C2/m, No. 12
DOS at the Fermi energy   0.547 states/eV/atom
Total magnetic moment   0.000 μB/cell
Energy relative to the elements, uncorrected   -1.0899 eV/atom

***

What did the second record say?
Nd6RuRh2I3 | GGA-PBE | relaxed

Cell lengths 7.215, 7.215, 8.525 Å; angles 98.10, 98.10, 119.99 degrees
Fractional coordinates of all 12 atoms:
Nd1 0.938 0.610 0.814
Nd2 0.734 0.734 0.186
Nd3 0.062 0.390 0.186
Nd4 0.610 0.938 0.814
Nd5 0.266 0.266 0.814
Nd6 0.390 0.062 0.186
Ru1 0.000 0.000 0.000
Rh1 0.333 0.667 0.000
Rh2 0.667 0.333 0.000
I1 0.166 0.834 0.500
I2 0.834 0.166 0.500
I3 0.500 0.500 0.500

Results
Symmetry   C2/m, No. 12
DOS at the Fermi energy   0.400 states/eV/atom
Total magnetic moment   0.000 μB/cell
Energy relative to the elements, uncorrected   -0.8454 eV/atom